# PBE TiNiRu3, optimized geometry
# Crystal system: cubic
# Offset from the most stable computed form in meV per atom: 0.0
data_TiNiRu3
_symmetry_space_group_name_H-M 'P m -3 m'
_symmetry_Int_Tables_number 221
_symmetry_space_group_name_Hall '-P 4 2 3'
_cell_length_a 4.401
_cell_length_b 4.401
_cell_length_c 4.401
_cell_angle_alpha 90.00
_cell_angle_beta 90.00
_cell_angle_gamma 90.00
loop_
_atom_site_label
_atom_site_type_symbol
_atom_site_fract_x
_atom_site_fract_y
_atom_site_fract_z
Ti1 Ti 0.000 0.000 0.000
Ni1 Ni 0.500 0.500 0.500
Ru1 Ru 0.000 0.500 0.500



# PBE Ti2Ni2Ru, optimized geometry
# Crystal system: tetragonal
# Offset from the most stable computed form in meV per atom: 0.0
data_Ti2Ni2Ru
_symmetry_space_group_name_H-M 'P 4/m b m'
_symmetry_Int_Tables_number 127
_symmetry_space_group_name_Hall '-P 4 2ab'
_cell_length_a 6.708
_cell_length_b 6.708
_cell_length_c 3.035
_cell_angle_alpha 90.00
_cell_angle_beta 90.00
_cell_angle_gamma 90.00
loop_
_atom_site_label
_atom_site_type_symbol
_atom_site_fract_x
_atom_site_fract_y
_atom_site_fract_z
Ti1 Ti 0.179 0.321 0.000
Ni1 Ni 0.123 0.623 0.500
Ru1 Ru 0.000 0.000 0.500



# PBE Ti8Ni2Ru, optimized geometry
# Crystal system: monoclinic
data_Ti8Ni2Ru
_symmetry_space_group_name_H-M 'C 1 2/m 1'
_symmetry_Int_Tables_number 12
_symmetry_space_group_name_Hall '-C 2y'
_cell_length_a 7.020
_cell_length_b 11.858
_cell_length_c 4.623
_cell_angle_alpha 90.00
_cell_angle_beta 113.00
_cell_angle_gamma 90.00
loop_
_atom_site_label
_atom_site_type_symbol
_atom_site_fract_x
_atom_site_fract_y
_atom_site_fract_z
Ti1 Ti 0.000 0.213 0.000
Ti2 Ti 0.118 0.500 0.812
Ti3 Ti 0.215 0.115 0.600
Ni1 Ni 0.000 0.298 0.500
Ru1 Ru 0.000 0.000 0.000



# PBE TiNiRu3, optimized geometry
# Crystal system: cubic
# Offset from the most stable computed form in meV per atom: 239.3
data_TiNiRu3
_symmetry_space_group_name_H-M 'P m -3 m'
_symmetry_Int_Tables_number 221
_symmetry_space_group_name_Hall '-P 4 2 3'
_cell_length_a 4.463
_cell_length_b 4.463
_cell_length_c 4.463
_cell_angle_alpha 90.00
_cell_angle_beta 90.00
_cell_angle_gamma 90.00
loop_
_atom_site_label
_atom_site_type_symbol
_atom_site_fract_x
_atom_site_fract_y
_atom_site_fract_z
Ti1 Ti 0.000 0.000 0.000
Ni1 Ni 0.500 0.500 0.500
Ru1 Ru 0.000 0.000 0.500



# PBE TiNi2Ru2, optimized geometry
# Crystal system: tetragonal
# Offset from the most stable computed form in meV per atom: 60.9
data_TiNi2Ru2
_symmetry_space_group_name_H-M 'P 4/m b m'
_symmetry_Int_Tables_number 127
_symmetry_space_group_name_Hall '-P 4 2ab'
_cell_length_a 7.048
_cell_length_b 7.048
_cell_length_c 2.750
_cell_angle_alpha 90.00
_cell_angle_beta 90.00
_cell_angle_gamma 90.00
loop_
_atom_site_label
_atom_site_type_symbol
_atom_site_fract_x
_atom_site_fract_y
_atom_site_fract_z
Ti1 Ti 0.000 0.000 0.000
Ni1 Ni 0.170 0.330 0.500
Ru1 Ru 0.128 0.628 0.000



# PBE TiNiRu2, optimized geometry
# Crystal system: tetragonal
data_TiNiRu2
_symmetry_space_group_name_H-M 'I -4 2 d'
_symmetry_Int_Tables_number 122
_symmetry_space_group_name_Hall 'I -4 2bw'
_cell_length_a 3.721
_cell_length_b 3.721
_cell_length_c 17.311
_cell_angle_alpha 90.00
_cell_angle_beta 90.00
_cell_angle_gamma 90.00
loop_
_atom_site_label
_atom_site_type_symbol
_atom_site_fract_x
_atom_site_fract_y
_atom_site_fract_z
Ti1 Ti 0.000 0.000 0.000
Ni1 Ni 0.000 0.000 0.500
Ru1 Ru 0.220 0.250 0.625



# PBE Ti2Ni2Ru, optimized geometry
# Crystal system: tetragonal
# Offset from the most stable computed form in meV per atom: 106.4
data_Ti2Ni2Ru
_symmetry_space_group_name_H-M 'P 4/m b m'
_symmetry_Int_Tables_number 127
_symmetry_space_group_name_Hall '-P 4 2ab'
_cell_length_a 6.726
_cell_length_b 6.726
_cell_length_c 3.081
_cell_angle_alpha 90.00
_cell_angle_beta 90.00
_cell_angle_gamma 90.00
loop_
_atom_site_label
_atom_site_type_symbol
_atom_site_fract_x
_atom_site_fract_y
_atom_site_fract_z
Ti1 Ti 0.162 0.338 0.000
Ni1 Ni 0.134 0.634 0.500
Ru1 Ru 0.000 0.000 0.000



# PBE Ti2NiRu, optimized geometry
# Crystal system: tetragonal
data_Ti2NiRu
_symmetry_space_group_name_H-M 'P 4/m m m'
_symmetry_Int_Tables_number 123
_symmetry_space_group_name_Hall '-P 4 2'
_cell_length_a 3.078
_cell_length_b 3.078
_cell_length_c 5.982
_cell_angle_alpha 90.00
_cell_angle_beta 90.00
_cell_angle_gamma 90.00
loop_
_atom_site_label
_atom_site_type_symbol
_atom_site_fract_x
_atom_site_fract_y
_atom_site_fract_z
Ti1 Ti 0.000 0.000 0.245
Ni1 Ni 0.500 0.500 0.000
Ru1 Ru 0.500 0.500 0.500



# PBE Ti4NiRu, optimized geometry
# Crystal system: monoclinic
# Offset from the most stable computed form in meV per atom: 362.6
data_Ti4NiRu
_symmetry_space_group_name_H-M 'C 1 2/m 1'
_symmetry_Int_Tables_number 12
_symmetry_space_group_name_Hall '-C 2y'
_cell_length_a 7.348
_cell_length_b 4.236
_cell_length_c 7.153
_cell_angle_alpha 90.00
_cell_angle_beta 109.92
_cell_angle_gamma 90.00
loop_
_atom_site_label
_atom_site_type_symbol
_atom_site_fract_x
_atom_site_fract_y
_atom_site_fract_z
Ti1 Ti 0.124 0.000 0.372
Ti2 Ti 0.127 0.500 0.881
Ni1 Ni 0.000 0.000 0.000
Ru1 Ru 0.000 0.500 0.500



# PBE TiNiRu2, optimized geometry
# Crystal system: cubic
data_TiNiRu2
_symmetry_space_group_name_H-M 'F m -3 m'
_symmetry_Int_Tables_number 225
_symmetry_space_group_name_Hall '-F 4 2 3'
_cell_length_a 6.018
_cell_length_b 6.018
_cell_length_c 6.018
_cell_angle_alpha 90.00
_cell_angle_beta 90.00
_cell_angle_gamma 90.00
loop_
_atom_site_label
_atom_site_type_symbol
_atom_site_fract_x
_atom_site_fract_y
_atom_site_fract_z
Ti1 Ti 0.000 0.000 0.000
Ni1 Ni 0.000 0.000 0.500
Ru1 Ru 0.250 0.250 0.250



# PBE Ti4Ni3Ru, optimized geometry
# Crystal system: tetragonal
data_Ti4Ni3Ru
_symmetry_space_group_name_H-M 'P 4/m m m'
_symmetry_Int_Tables_number 123
_symmetry_space_group_name_Hall '-P 4 2'
_cell_length_a 4.268
_cell_length_b 4.268
_cell_length_c 6.114
_cell_angle_alpha 90.00
_cell_angle_beta 90.00
_cell_angle_gamma 90.00
loop_
_atom_site_label
_atom_site_type_symbol
_atom_site_fract_x
_atom_site_fract_y
_atom_site_fract_z
Ti1 Ti 0.000 0.500 0.247
Ni1 Ni 0.000 0.000 0.000
Ni2 Ni 0.000 0.000 0.500
Ni3 Ni 0.500 0.500 0.000
Ru1 Ru 0.500 0.500 0.500



# PBE TiNiRu, optimized geometry
# Crystal system: monoclinic
# Offset from the most stable computed form in meV per atom: 21.3
data_TiNiRu
_symmetry_space_group_name_H-M 'C 1 2/m 1'
_symmetry_Int_Tables_number 12
_symmetry_space_group_name_Hall '-C 2y'
_cell_length_a 5.212
_cell_length_b 5.170
_cell_length_c 6.205
_cell_angle_alpha 90.00
_cell_angle_beta 98.87
_cell_angle_gamma 90.00
loop_
_atom_site_label
_atom_site_type_symbol
_atom_site_fract_x
_atom_site_fract_y
_atom_site_fract_z
Ti1 Ti 0.196 0.000 0.200
Ni1 Ni 0.000 0.248 0.500
Ru1 Ru 0.195 0.500 0.187



Number 1: energy relative to the elements 1.142 eV per atom, raw total energy -35.79 eV per cell. Number 2: energy relative to the elements -0.332 eV per atom, raw total energy -76.58 eV per cell. Number 3: energy relative to the elements -0.136 eV per atom, raw total energy -170.99 eV per cell. Number 4: energy relative to the elements 1.381 eV per atom, raw total energy -34.60 eV per cell. Number 5: energy relative to the elements 0.081 eV per atom, raw total energy -75.21 eV per cell. Number 6: energy relative to the elements 0.233 eV per atom, raw total energy -125.18 eV per cell. Number 7: energy relative to the elements -0.225 eV per atom, raw total energy -75.51 eV per cell. Number 8: energy relative to the elements -0.541 eV per atom, raw total energy -33.01 eV per cell. Number 9: energy relative to the elements -0.041 eV per atom, raw total energy -93.76 eV per cell. Number 10: energy relative to the elements -0.169 eV per atom, raw total energy -131.62 eV per cell. Number 11: energy relative to the elements -0.438 eV per atom, raw total energy -61.70 eV per cell. Number 12: energy relative to the elements -0.254 eV per atom, raw total energy -94.86 eV per cell.